Density functional theory data (PBE-GGA) for a relaxed structure of TaRe2.

Values from the calculation:
Formation energy in eV/atom: -0.1069
Total DFT energy (no corrections) in eV/atom: -12.36
SG: I4/mmm
DOS(E_F) in states/eV per atom: 0.702

Geometry as POSCAR:
```
TaRe2
1.0
5.0496 0.3098 -1.4312
4.2494 -2.0995 2.2754
-4.8914 -0.9534 -1.6756
Re Ta
2 1
Cartesian
6.1832 -1.1900 0.5613
3.1158 -0.5997 0.2829
0.0000 0.0000 0.0000
```